# 1
MgAlTcOs | PBE | optimized geometry

Crystal system   cubic
Energy   -6.779 eV/atom
Energy relative to the elements   -0.045 eV per atom
Spin magnetization   0.00 μB per cell
Calculated density   9.53 g/cm³

Lattice parameters (Å, degrees): 4.3739 4.3739 4.3739 60.00 60.00 60.00
Element x y z (fractional)
Mg 0.7500 0.7500 0.7500
Os 0.2500 0.2500 0.2500
Tc 0.5000 0.5000 0.5000
Al 0.0000 0.0000 0.0000

***

# 2
Mg2TiAlOs | PBE | optimized geometry

Crystal system   tetragonal
Energy   -3.373 eV/atom
Energy relative to the elements   1.839 eV per atom
Spin magnetization   3.41 μB per cell
Calculated density   4.54 g/cm³

Lattice parameters (Å, degrees): 4.9131 4.7516 4.9131 90.00 90.00 90.00
Last column: magnetic moment on the atom in μB.
Element x y z (fractional)
Mg 0.0000 0.0000 0.5000  0.03
Mg 0.5000 0.0000 0.0000  0.06
Os 0.5000 0.5000 0.5000  1.61
Al 0.0000 0.5000 0.0000  0.00
Ti 0.0000 0.0000 0.0000  1.24